# Y2ScVO6

Y2ScVO6 after structural relaxation (GGA+U, the Alexandria database).

Summary:
The calculation puts the total magnetization at 2.00 μB/cell. The value obtained for the calculated volume is 127.33 Å³ per cell. The value obtained for the energy is -87.92 eV per cell.

```
data_Y2ScVO6
_space_group_name_H-M_alt 'P 1'
_space_group_IT_number 1
_space_group_name_Hall 'P 1'
_cell_length_a 5.547
_cell_length_b 5.546
_cell_length_c 5.753
_cell_angle_alpha 61.20
_cell_angle_beta 61.17
_cell_angle_gamma 60.00
loop_
_atom_site_label
_atom_site_type_symbol
_atom_site_fract_x
_atom_site_fract_y
_atom_site_fract_z
_atom_site_occupancy
Y1 Y 0.535 0.535 0.396 1
Y2 Y 0.031 0.031 0.907 1
Sc1 Sc 0.812 0.812 0.564 1
V1 V 0.316 0.316 0.053 1
O1 O 0.594 0.183 0.263 1
O2 O 0.183 0.960 0.263 1
O3 O 0.960 0.594 0.263 1
O4 O 0.454 0.676 0.769 1
O5 O 0.676 0.102 0.768 1
O6 O 0.101 0.454 0.768 1
```

***

# YScV2O8

YScV2O8 after structural relaxation (GGA+U, the Alexandria database).

Summary:
The calculation puts the total magnetization at 0.00 μB/cell. The value obtained for the calculated volume is 156.32 Å³ per cell. The value obtained for the energy is -98.98 eV per cell.

```
data_YScV2O8
_space_group_name_H-M_alt 'P 1'
_space_group_IT_number 1
_space_group_name_Hall 'P 1'
_cell_length_a 5.896
_cell_length_b 5.896
_cell_length_c 5.896
_cell_angle_alpha 106.42
_cell_angle_beta 106.42
_cell_angle_gamma 115.76
loop_
_atom_site_label
_atom_site_type_symbol
_atom_site_fract_x
_atom_site_fract_y
_atom_site_fract_z
_atom_site_occupancy
Y1 Y 0.000 0.000 0.000 1
Sc1 Sc 0.250 0.750 0.500 1
V1 V 0.750 0.250 0.500 1
V2 V 0.500 0.500 0.000 1
O1 O 0.383 0.067 0.316 1
O2 O 0.327 0.520 0.193 1
O3 O 0.327 0.134 0.807 1
O4 O 0.751 0.067 0.684 1
O5 O 0.866 0.673 0.193 1
O6 O 0.933 0.249 0.316 1
O7 O 0.933 0.617 0.684 1
O8 O 0.480 0.673 0.807 1
```

***

# ScV2ZnO8

ScV2ZnO8 after structural relaxation (GGA+U, the Alexandria database).

Summary:
The calculation puts the total magnetization at 1.05 μB/cell. The value obtained for the calculated volume is 146.73 Å³ per cell. The value obtained for the energy is -85.09 eV per cell.

```
data_ScV2ZnO8
_space_group_name_H-M_alt 'P 1'
_space_group_IT_number 1
_space_group_name_Hall 'P 1'
_cell_length_a 5.761
_cell_length_b 5.761
_cell_length_c 5.761
_cell_angle_alpha 107.62
_cell_angle_beta 107.62
_cell_angle_gamma 113.23
loop_
_atom_site_label
_atom_site_type_symbol
_atom_site_fract_x
_atom_site_fract_y
_atom_site_fract_z
_atom_site_occupancy
Sc1 Sc 0.250 0.750 0.500 1
V1 V 0.750 0.250 0.500 1
V2 V 0.500 0.500 0.000 1
Zn1 Zn 0.000 0.000 0.000 1
O1 O 0.376 0.075 0.302 1
O2 O 0.337 0.541 0.204 1
O3 O 0.337 0.133 0.796 1
O4 O 0.773 0.075 0.698 1
O5 O 0.867 0.663 0.204 1
O6 O 0.925 0.227 0.302 1
O7 O 0.925 0.624 0.698 1
O8 O 0.459 0.663 0.796 1
```

***

# Sc2VZnO6

Sc2VZnO6 after structural relaxation (GGA+U, the Alexandria database).

Summary:
The calculation puts the total magnetization at 1.00 μB/cell. The value obtained for the calculated volume is 113.67 Å³ per cell. The value obtained for the energy is -77.35 eV per cell.

```
data_Sc2VZnO6
_space_group_name_H-M_alt 'P 1'
_space_group_IT_number 1
_space_group_name_Hall 'P 1'
_cell_length_a 5.214
_cell_length_b 5.261
_cell_length_c 5.652
_cell_angle_alpha 61.93
_cell_angle_beta 62.13
_cell_angle_gamma 60.89
loop_
_atom_site_label
_atom_site_type_symbol
_atom_site_fract_x
_atom_site_fract_y
_atom_site_fract_z
_atom_site_occupancy
Sc1 Sc 0.523 0.529 0.431 1
Sc2 Sc 0.024 0.009 0.945 1
V1 V 0.321 0.318 0.048 1
Zn1 Zn 0.811 0.795 0.612 1
O1 O 0.576 0.238 0.229 1
O2 O 0.212 0.940 0.248 1
O3 O 0.941 0.591 0.232 1
O4 O 0.418 0.712 0.749 1
O5 O 0.705 0.124 0.758 1
O6 O 0.128 0.407 0.764 1
```

***

# ZrScV2O6

ZrScV2O6 after structural relaxation (GGA+U, the Alexandria database).

Summary:
The calculation puts the total magnetization at 5.00 μB/cell. The value obtained for the calculated volume is 118.48 Å³ per cell. The value obtained for the energy is -86.72 eV per cell.

```
data_ZrScV2O6
_space_group_name_H-M_alt 'P 1'
_space_group_IT_number 1
_space_group_name_Hall 'P 1'
_cell_length_a 5.322
_cell_length_b 5.322
_cell_length_c 5.725
_cell_angle_alpha 62.29
_cell_angle_beta 62.29
_cell_angle_gamma 59.99
loop_
_atom_site_label
_atom_site_type_symbol
_atom_site_fract_x
_atom_site_fract_y
_atom_site_fract_z
_atom_site_occupancy
Zr1 Zr 0.310 0.310 0.069 1
Sc1 Sc 0.812 0.812 0.565 1
V1 V 0.515 0.515 0.455 1
V2 V 0.017 0.017 0.948 1
O1 O 0.612 0.231 0.251 1
O2 O 0.231 0.906 0.250 1
O3 O 0.906 0.612 0.251 1
O4 O 0.423 0.711 0.742 1
O5 O 0.711 0.124 0.742 1
O6 O 0.124 0.423 0.742 1
```

***

# ScWO2

ScWO2 after structural relaxation (GGA+U, the Alexandria database).

Summary:
The calculation puts the energy above the most stable polymorph in this dataset at 1029.8 meV/atom. The calculation puts the total magnetization at 0.00 μB/cell. The value obtained for the calculated volume is 44.91 Å³ per cell. The value obtained for the energy is -27.69 eV per cell.

```
data_ScWO2
_space_group_name_H-M_alt 'P 1'
_space_group_IT_number 1
_space_group_name_Hall 'P 1'
_cell_length_a 3.990
_cell_length_b 3.990
_cell_length_c 3.990
_cell_angle_alpha 60.00
_cell_angle_beta 60.00
_cell_angle_gamma 60.00
loop_
_atom_site_label
_atom_site_type_symbol
_atom_site_fract_x
_atom_site_fract_y
_atom_site_fract_z
_atom_site_occupancy
Sc1 Sc 0.000 0.000 0.000 1
O1 O 0.250 0.250 0.250 1
O2 O 0.750 0.750 0.750 1
W1 W 0.500 0.500 0.500 1
```

***

# ScWO3

ScWO3 after structural relaxation (GGA+U, the Alexandria database).

Summary:
The calculation puts the total magnetization at 3.00 μB/cell. The value obtained for the calculated volume is 62.64 Å³ per cell. The value obtained for the energy is -35.27 eV per cell.

```
data_ScWO3
_space_group_name_H-M_alt 'P 1'
_space_group_IT_number 1
_space_group_name_Hall 'P 1'
_cell_length_a 3.971
_cell_length_b 3.971
_cell_length_c 3.971
_cell_angle_alpha 90.00
_cell_angle_beta 90.00
_cell_angle_gamma 90.00
loop_
_atom_site_label
_atom_site_type_symbol
_atom_site_fract_x
_atom_site_fract_y
_atom_site_fract_z
_atom_site_occupancy
Sc1 Sc 0.000 0.000 0.000 1
O1 O 0.000 0.500 0.000 1
O2 O 0.000 0.000 0.500 1
O3 O 0.500 0.000 0.000 1
W1 W 0.500 0.500 0.500 1
```

***

# ScW4O12

ScW4O12 after structural relaxation (GGA+U, the Alexandria database).

Summary:
The calculation puts the total magnetization at 3.00 μB/cell. The value obtained for the calculated volume is 224.57 Å³ per cell. The value obtained for the energy is -131.43 eV per cell.

```
data_ScW4O12
_space_group_name_H-M_alt 'P 1'
_space_group_IT_number 1
_space_group_name_Hall 'P 1'
_cell_length_a 6.611
_cell_length_b 6.658
_cell_length_c 6.658
_cell_angle_alpha 108.44
_cell_angle_beta 111.41
_cell_angle_gamma 108.88
loop_
_atom_site_label
_atom_site_type_symbol
_atom_site_fract_x
_atom_site_fract_y
_atom_site_fract_z
_atom_site_occupancy
Sc1 Sc 0.000 0.500 0.500 1
W1 W 0.500 0.000 0.000 1
W2 W 0.000 0.500 0.000 1
W3 W 0.000 0.000 0.500 1
W4 W 0.500 0.500 0.500 1
O1 O 0.192 0.765 0.942 1
O2 O 0.024 0.708 0.317 1
O3 O 0.423 0.730 0.692 1
O4 O 0.301 0.095 0.789 1
O5 O 0.699 0.487 0.794 1
O6 O 0.192 0.251 0.428 1
O7 O 0.808 0.749 0.572 1
O8 O 0.699 0.905 0.211 1
O9 O 0.301 0.513 0.206 1
O10 O 0.577 0.270 0.308 1
O11 O 0.976 0.292 0.683 1
O12 O 0.808 0.235 0.058 1
```

***

# ScWO3

ScWO3 after structural relaxation (GGA+U, the Alexandria database).

Summary:
The calculation puts the total magnetization at 3.00 μB/cell. The value obtained for the calculated volume is 64.47 Å³ per cell. The value obtained for the energy is -36.99 eV per cell.

```
data_ScWO3
_space_group_name_H-M_alt 'P 1'
_space_group_IT_number 1
_space_group_name_Hall 'P 1'
_cell_length_a 4.010
_cell_length_b 4.010
_cell_length_c 4.010
_cell_angle_alpha 90.00
_cell_angle_beta 90.00
_cell_angle_gamma 90.00
loop_
_atom_site_label
_atom_site_type_symbol
_atom_site_fract_x
_atom_site_fract_y
_atom_site_fract_z
_atom_site_occupancy
Sc1 Sc 0.500 0.500 0.500 1
O1 O 0.000 0.500 0.000 1
O2 O 0.000 0.000 0.500 1
O3 O 0.500 0.000 0.000 1
W1 W 0.000 0.000 0.000 1
```

***

# ScW2O

ScW2O after structural relaxation (GGA+U, the Alexandria database).

Summary:
The calculation puts the total magnetization at 6.17 μB/cell. The value obtained for the calculated volume is 132.47 Å³ per cell. The value obtained for the energy is -49.62 eV per cell.

```
data_ScW2O
_space_group_name_H-M_alt 'P 1'
_space_group_IT_number 1
_space_group_name_Hall 'P 1'
_cell_length_a 7.375
_cell_length_b 7.375
_cell_length_c 5.756
_cell_angle_alpha 50.16
_cell_angle_beta 50.16
_cell_angle_gamma 90.00
loop_
_atom_site_label
_atom_site_type_symbol
_atom_site_fract_x
_atom_site_fract_y
_atom_site_fract_z
_atom_site_occupancy
Sc1 Sc 0.000 0.000 0.000 1
Sc2 Sc 0.750 0.250 0.500 1
O1 O 0.500 0.500 0.000 1
O2 O 0.250 0.750 0.500 1
W1 W 0.508 0.125 0.250 1
W2 W 0.242 0.625 0.250 1
W3 W 0.375 0.492 0.750 1
W4 W 0.875 0.758 0.750 1
```

***

# ScWO2

ScWO2 after structural relaxation (GGA+U, the Alexandria database).

Summary:
The calculation puts the energy above the most stable polymorph in this dataset at 464.3 meV/atom. The calculation puts the total magnetization at 6.00 μB/cell. The value obtained for the calculated volume is 117.27 Å³ per cell. The value obtained for the energy is -59.90 eV per cell.

```
data_ScWO2
_space_group_name_H-M_alt 'P 1'
_space_group_IT_number 1
_space_group_name_Hall 'P 1'
_cell_length_a 4.907
_cell_length_b 4.907
_cell_length_c 5.980
_cell_angle_alpha 65.78
_cell_angle_beta 65.78
_cell_angle_gamma 90.00
loop_
_atom_site_label
_atom_site_type_symbol
_atom_site_fract_x
_atom_site_fract_y
_atom_site_fract_z
_atom_site_occupancy
Sc1 Sc 0.500 0.500 0.000 1
Sc2 Sc 0.250 0.750 0.500 1
O1 O 0.607 0.125 0.250 1
O2 O 0.143 0.625 0.250 1
O3 O 0.375 0.393 0.750 1
O4 O 0.875 0.857 0.750 1
W1 W 0.000 0.000 0.000 1
W2 W 0.750 0.250 0.500 1
```

***

# ScWO2

ScWO2 after structural relaxation (GGA+U, the Alexandria database).

Summary:
The calculation puts the energy above the most stable polymorph in this dataset at 0.0 meV/atom. The calculation puts the total magnetization at 3.13 μB/cell. The value obtained for the calculated volume is 55.21 Å³ per cell. The value obtained for the energy is -31.81 eV per cell.

```
data_ScWO2
_space_group_name_H-M_alt 'P 1'
_space_group_IT_number 1
_space_group_name_Hall 'P 1'
_cell_length_a 6.613
_cell_length_b 6.613
_cell_length_c 6.613
_cell_angle_alpha 27.71
_cell_angle_beta 27.71
_cell_angle_gamma 27.71
loop_
_atom_site_label
_atom_site_type_symbol
_atom_site_fract_x
_atom_site_fract_y
_atom_site_fract_z
_atom_site_occupancy
Sc1 Sc 0.500 0.500 0.500 1
O1 O 0.888 0.888 0.888 1
O2 O 0.112 0.112 0.112 1
W1 W 0.000 0.000 0.000 1
```

***

Copy entry 12 word for word.
# ScWO2

ScWO2 after structural relaxation (GGA+U, the Alexandria database).

Summary:
The calculation puts the energy above the most stable polymorph in this dataset at 0.0 meV/atom. The calculation puts the total magnetization at 3.13 μB/cell. The value obtained for the calculated volume is 55.21 Å³ per cell. The value obtained for the energy is -31.81 eV per cell.

```
data_ScWO2
_space_group_name_H-M_alt 'P 1'
_space_group_IT_number 1
_space_group_name_Hall 'P 1'
_cell_length_a 6.613
_cell_length_b 6.613
_cell_length_c 6.613
_cell_angle_alpha 27.71
_cell_angle_beta 27.71
_cell_angle_gamma 27.71
loop_
_atom_site_label
_atom_site_type_symbol
_atom_site_fract_x
_atom_site_fract_y
_atom_site_fract_z
_atom_site_occupancy
Sc1 Sc 0.500 0.500 0.500 1
O1 O 0.888 0.888 0.888 1
O2 O 0.112 0.112 0.112 1
W1 W 0.000 0.000 0.000 1
```